Entry 1:
Here is a crystal of ScBeOF2 relaxed with PBEsol from Alexandria via LeMat-Bulk. Energies are from meta-GGA SCAN.

Computed properties:
Density: 4.1 g/cm³
Energy relative to the elements, uncorrected: -2800 meV/atom
Total magnetization: 0.000 μB/atom

a b c (Å): 3.6942 3.6942 3.2425
angles (deg): 90.00 90.00 90.00
Last column: nearest neighbours and their distance in Å.
Atoms (fractional coordinates):
Sc1 0.0000 0.0000 0.0000  8 F 2.46, 4 O 2.61
Be1 0.5000 0.5000 0.5000  2 O 1.62
O1 0.5000 0.5000 0.0000  2 Be 1.62
F1 0.0000 0.5000 0.5000  2 Be 1.85
F2 0.5000 0.0000 0.5000  2 Be 1.85



Entry 2:
Here is a crystal of FeNi2Ir relaxed with PBEsol from Alexandria via LeMat-Bulk. Energies are from meta-GGA SCAN.

Computed properties:
Density: 12.9 g/cm³
Formation energy from the elements: -0.1235 eV/atom
Total magnetization: 1.264 μB/atom

a b c (Å): 4.3995 4.3995 2.5756
angles (deg): 90.00 90.00 109.60
Last column: nearest neighbours and their distance in Å.
Atoms (fractional coordinates):
Fe1 0.0000 0.0000 0.0000  2 Ir 2.54, 8 Ni 2.55, 2 Fe 2.58
Ni1 0.0000 0.5000 0.5000  4 Ni 2.54-2.58, 4 Fe 2.55, 4 Ir 2.55
Ni2 0.5000 0.0000 0.5000  4 Ni 2.54-2.58, 4 Fe 2.55, 4 Ir 2.55
Ir1 0.5000 0.5000 0.0000  2 Fe 2.54, 8 Ni 2.55, 2 Ir 2.58



Entry 3:
Here is a crystal of Sr2YSb relaxed with PBEsol from Alexandria via LeMat-Bulk. Energies are from meta-GGA SCAN.

Computed properties:
Density: 4.3 g/cm³
Energy relative to the elements, uncorrected: -188 meV/atom
Total magnetization: 0.284 μB/atom

a b c (Å): 11.5770 11.5770 11.5770
angles (deg): 19.26 19.26 19.26
Last column: nearest neighbours and their distance in Å.
Atoms (fractional coordinates):
Sr1 0.2379 0.2379 0.2379  3 Sb 3.30
Sr2 0.7621 0.7621 0.7621  3 Sb 3.30
Y1 0.0000 0.0000 0.0000  6 Y 3.87, 6 Sr 3.95
Sb1 0.5000 0.5000 0.5000  6 Sr 3.30



Entry 4:
Here is a crystal of Cu2NiOs relaxed with PBEsol from Alexandria via LeMat-Bulk. Energies are from meta-GGA SCAN.

Computed properties:
Relative energy among the computed polymorphs: 0 meV/atom
Density: 13.0 g/cm³
Formation energy from the elements: 0.1721 eV/atom
Total magnetization: 0.000 μB/atom

a b c (Å): 8.3398 8.3398 8.3398
angles (deg): 17.95 17.95 17.95
Last column: nearest neighbours and their distance in Å.
Atoms (fractional coordinates):
Cu1 0.0000 0.0000 0.0000  3 Ni 2.50, 9 Cu 2.51-2.60
Cu2 0.2516 0.2516 0.2516  9 Cu 2.51-2.60, 3 Os 2.65
Ni1 0.7477 0.7477 0.7477  3 Cu 2.50, 3 Os 2.51, 6 Ni 2.60
Os1 0.4962 0.4962 0.4962  3 Ni 2.51, 6 Os 2.60, 3 Cu 2.65



Entry 5:
Here is a crystal of Nb3PdCl relaxed with PBEsol from Alexandria via LeMat-Bulk. Energies are from meta-GGA SCAN.

Computed properties:
Density: 7.8 g/cm³
Energy relative to the elements, uncorrected: 670 meV/atom
Total magnetization: 0.000 μB/atom

a b c (Å): 4.4812 4.4812 4.4812
angles (deg): 90.00 90.00 90.00
Last column: nearest neighbours and their distance in Å.
Atoms (fractional coordinates):
Nb1 0.0000 0.0000 0.5000  2 Cl 2.24
Nb2 0.0000 0.5000 0.0000  2 Cl 2.24
Nb3 0.5000 0.0000 0.0000  2 Cl 2.24
Pd1 0.5000 0.5000 0.5000  12 Nb 3.17
Cl1 0.0000 0.0000 0.0000  6 Nb 2.24



Entry 6:
Here is a crystal of RbAlAg3 relaxed with PBEsol from Alexandria via LeMat-Bulk. Energies are from meta-GGA SCAN.

Computed properties:
Density: 5.6 g/cm³
Formation energy from the elements: 0.1378 eV/atom
Total magnetization: 0.000 μB/atom

a b c (Å): 5.0435 5.0435 5.0435
angles (deg): 90.00 90.00 90.00
Last column: nearest neighbours and their distance in Å.
Atoms (fractional coordinates):
Rb1 0.0000 0.0000 0.0000  12 Ag 3.57
Al1 0.5000 0.5000 0.5000  6 Ag 2.52
Ag1 0.0000 0.5000 0.5000  2 Al 2.52
Ag2 0.5000 0.0000 0.5000  2 Al 2.52
Ag3 0.5000 0.5000 0.0000  2 Al 2.52



Entry 7:
Here is a crystal of Zn3Au relaxed with PBEsol from Alexandria via LeMat-Bulk. Energies are from meta-GGA SCAN.

Computed properties:
Density: 11.2 g/cm³
Formation energy from the elements: -0.1576 eV/atom
Total magnetization: 0.000 μB/atom

a b c (Å): 3.8751 3.8751 3.8751
angles (deg): 90.00 90.00 90.00
Last column: nearest neighbours and their distance in Å.
Atoms (fractional coordinates):
Zn1 0.0000 0.0000 0.5000  8 Zn 2.74, 4 Au 2.74
Zn2 0.0000 0.5000 0.0000  8 Zn 2.74, 4 Au 2.74
Zn3 0.5000 0.0000 0.0000  8 Zn 2.74, 4 Au 2.74
Au1 0.5000 0.5000 0.5000  12 Zn 2.74



Entry 8:
Here is a crystal of LiTi3Se6 relaxed with PBEsol from Alexandria via LeMat-Bulk. Energies are from meta-GGA SCAN.

Computed properties:
Density: 5.3 g/cm³
Energy relative to the elements, uncorrected: -1297 meV/atom
Total magnetization: 0.000 μB/atom

a b c (Å): 3.5096 3.5096 18.3903
angles (deg): 90.00 90.00 120.00
Last column: nearest neighbours and their distance in Å.
Atoms (fractional coordinates):
Li1 0.0000 0.0000 0.0000  6 Se 2.64
Ti1 0.0000 0.0000 0.1790  6 Se 2.53-2.58
Ti2 0.0000 0.0000 0.5000  6 Se 2.54
Ti3 0.0000 0.0000 0.8210  6 Se 2.53-2.58
Se1 0.3333 0.6667 0.2609  3 Ti 2.53
Se2 0.3333 0.6667 0.5834  3 Ti 2.54
Se3 0.3333 0.6667 0.9078  3 Ti 2.58, 3 Li 2.64
Se4 0.6667 0.3333 0.0922  3 Ti 2.58, 3 Li 2.64
Se5 0.6667 0.3333 0.4166  3 Ti 2.54
Se6 0.6667 0.3333 0.7391  3 Ti 2.53